Entry 1:
BaMgZnAu2: optimized geometry, PBE-GGA.

**Total DFT energy (no corrections)**: -0.208 Ry/atom
**ΔE_f**: -0.56 eV per atom

Cell lengths 4.4417, 4.4417, 12.4919 Å; angles 90.00, 90.00, 90.00 degrees
Space group I-4m2 (No. 119)
Asymmetric unit:
Ba  0.0000  0.0000  0.0000 [2 per cell]
Mg  0.0000  0.5000  0.7500 [2 per cell]
Zn  0.0000  0.5000  0.2500 [2 per cell]
Au  0.0000  0.0000  0.3795 [4 per cell]

=====

Entry 2:
AlZn3Ag: optimized geometry, PBE-GGA.

**E above lowest polymorph**: 0 meV/atom
**Total DFT energy (no corrections)**: -0.153 Ry/atom
**ΔE_f**: 0.00 eV per atom

Cell lengths 3.0158, 3.9139, 7.1548 Å; angles 104.68, 101.90, 92.15 degrees
Space group P1 (No. 1)
Asymmetric unit:
Al  0.0000  0.0000  0.0000 [1 per cell]
Zn  0.1972  0.1981  0.3916 [1 per cell]
Zn  0.3999  0.4022  0.8033 [1 per cell]
Zn  0.5988  0.5971  0.1938 [1 per cell]
Ag  0.7982  0.8001  0.5978 [1 per cell]

=====

Entry 3:
Y2CoNi: optimized geometry, PBE-GGA.

**Total DFT energy (no corrections)**: -0.472 Ry/atom
**ΔE_f**: 0.03 eV per atom

Cell lengths 3.3238, 3.3238, 7.5266 Å; angles 90.00, 90.00, 90.00 degrees
Space group P4mm (No. 99)
Asymmetric unit:
Y  0.0000  0.0000  0.0000 [1 per cell]
Y  0.5000  0.5000  0.4059 [1 per cell]
Co  0.0000  0.0000  0.6411 [1 per cell]
Ni  0.5000  0.5000  0.7703 [1 per cell]

=====

Entry 4:
PrMgZn2Pt2: optimized geometry, PBE-GGA.

**Total DFT energy (no corrections)**: -0.314 Ry/atom
**ΔE_f**: -0.78 eV per atom

Cell lengths 4.4380, 4.4380, 6.7861 Å; angles 90.00, 90.00, 120.00 degrees
Space group P-3m1 (No. 164)
Asymmetric unit:
Pr  0.0000  0.0000  0.0000 [1 per cell]
Mg  0.0000  0.0000  0.5000 [1 per cell]
Zn  0.3333  0.6667  0.3083 [2 per cell]
Pt  0.3333  0.6667  0.7127 [2 per cell]

=====

Entry 5:
K2YSi: optimized geometry, PBE-GGA.

**Total DFT energy (no corrections)**: -0.260 Ry/atom
**Formation energy (no corrections)**: -0.018 eV/atom

Cell lengths 4.0100, 4.0100, 10.5254 Å; angles 90.00, 90.00, 90.00 degrees
Space group P4mm (No. 99)
Asymmetric unit:
K  0.0000  0.0000  0.0000 [1 per cell]
K  0.5000  0.5000  0.3778 [1 per cell]
Y  0.5000  0.5000  0.7047 [1 per cell]
Si  0.0000  0.0000  0.6592 [1 per cell]

=====

Entry 6:
MgZnGa2Pd: optimized geometry, PBE-GGA.

**Total DFT energy (no corrections)**: -0.233 Ry/atom
**ΔE_f**: -0.34 eV per atom

Cell lengths 5.0455, 4.4327, 8.0770 Å; angles 90.00, 105.14, 90.00 degrees
Space group P2_1/m (No. 11)
Asymmetric unit:
Mg  0.0028  0.2500  0.2364 [2 per cell]
Zn  0.1388  0.7500  0.4535 [2 per cell]
Ga  0.3373  0.2500  0.9688 [2 per cell]
Ga  0.3962  0.2500  0.6215 [2 per cell]
Pd  0.1924  0.7500  0.1138 [2 per cell]